A.
DFT (PBE-GGA) results for a relaxed structure of Pr6SmTh.

Properties
Space-group type ... P4/mmm

a = 5.2067 Å, b = 5.2067 Å, c = 10.4253 Å
α = 90.00°, β = 90.00°, γ = 90.00°
Fractional coordinates of all 8 atoms:
Pr1 0.0000 0.0000 0.0000
Pr2 0.0000 0.0000 0.5000
Pr3 0.0000 0.5000 0.2462
Pr4 0.0000 0.5000 0.7538
Pr5 0.5000 0.0000 0.2462
Pr6 0.5000 0.0000 0.7538
Sm1 0.5000 0.5000 0.5000
Th1 0.5000 0.5000 0.0000



B.
DFT (PBE-GGA) results for a relaxed structure of Pr6SmTh.

Properties
Space-group type ... P-1

a = 6.7153 Å, b = 6.8864 Å, c = 6.9644 Å
α = 60.60°, β = 88.42°, γ = 88.43°
Fractional coordinates of all 8 atoms:
Pr1 0.2429 0.4610 0.4986
Pr2 0.2476 0.9167 0.0102
Pr3 0.2511 0.4264 0.9886
Pr4 0.7489 0.5736 0.0114
Pr5 0.7524 0.0833 0.9898
Pr6 0.7571 0.5390 0.5014
Sm1 0.5000 0.0000 0.5000
Th1 0.0000 0.0000 0.5000



Energies relative to the minimum, meV per atom: A 0; B 145



A.
DFT (PBE-GGA) results for a relaxed structure of Pr5Sm4Tl.

Properties
Space-group type ... I4mm

a = 8.2018 Å, b = 8.2018 Å, c = 8.2018 Å
α = 98.06°, β = 98.06°, γ = 136.01°
Fractional coordinates of all 10 atoms:
Pr1 0.0000 0.0000 0.0000
Pr2 0.0971 0.0971 0.6239
Pr3 0.0971 0.4732 0.0000
Pr4 0.4732 0.0971 0.0000
Pr5 0.4732 0.4732 0.3761
Sm1 0.1134 0.7977 0.3157
Sm2 0.4821 0.7977 0.6843
Sm3 0.7977 0.1134 0.3157
Sm4 0.7977 0.4821 0.6843
Tl1 0.5231 0.5231 0.0000



B.
DFT (PBE-GGA) results for a relaxed structure of Pr5Sm4Tl.

Properties
Space-group type ... P4/mmm

a = 4.2881 Å, b = 4.2881 Å, c = 18.4053 Å
α = 90.00°, β = 90.00°, γ = 90.00°
Fractional coordinates of all 10 atoms:
Pr1 0.0000 0.0000 0.0000
Pr2 0.0000 0.0000 0.2042
Pr3 0.0000 0.0000 0.4104
Pr4 0.0000 0.0000 0.5896
Pr5 0.0000 0.0000 0.7958
Sm1 0.5000 0.5000 0.1020
Sm2 0.5000 0.5000 0.3046
Sm3 0.5000 0.5000 0.6954
Sm4 0.5000 0.5000 0.8980
Tl1 0.5000 0.5000 0.5000



Energies relative to the minimum, meV per atom: A 115; B 0